1.
First-principles (GGA-PBE) data for a relaxed structure of Ce3Tm2S8, as listed in Alexandria via LeMat-Bulk.

Structure (extended XYZ):
```
13
Lattice="6.790 0.032 2.128 1.421 6.852 3.943 0.173 -0.104 8.030" Properties=species:S:1:pos:R:3 pbc="T T T"
Ce 3.395 0.016 1.064
Ce 0.493 1.679 6.982
Ce 1.101 5.069 4.991
Tm 6.942 1.762 5.119
Tm 1.442 5.018 8.982
S 6.495 4.292 9.289
S 1.890 2.488 4.812
S 5.320 0.828 3.034
S 3.064 5.952 11.067
S 6.216 4.405 4.983
S 5.540 0.640 7.195
S 2.844 6.140 6.906
S 2.169 2.375 9.118
```

Results
SG: C2/m, No. 12


2.
First-principles (GGA-PBE) data for a relaxed structure of Tc3Hg, as listed in Alexandria via LeMat-Bulk.

Structure (extended XYZ):
```
8
Lattice="4.520 0.000 0.000 0.000 5.088 0.000 0.000 0.000 5.532" Properties=species:S:1:pos:R:3 pbc="T T T"
Tc 2.260 3.505 0.000
Tc 0.000 4.355 1.467
Tc 2.260 0.733 1.299
Tc 0.000 1.583 2.766
Tc 0.000 4.355 4.065
Tc 2.260 0.733 4.233
Hg 0.000 1.855 0.000
Hg 2.260 3.233 2.766
```

Results
SG: Pmmn, No. 59
Energy above the most stable polymorph in this dataset, meV per atom: 128.3
Energy of formation, meV/atom: 425


3.
First-principles (GGA-PBE) data for a relaxed structure of Nd5TmIn8, as listed in Alexandria via LeMat-Bulk.

Structure (extended XYZ):
```
14
Lattice="8.123 0.054 -0.092 -2.698 7.662 0.092 -2.727 -3.848 6.615" Properties=species:S:1:pos:R:3 pbc="T T T"
Nd 6.736 2.394 0.721
Nd 4.140 5.780 1.632
Nd 2.698 2.503 4.125
Nd 2.698 -1.897 3.261
Nd 2.672 0.961 0.044
Tm -1.364 0.959 4.984
In -1.054 5.506 0.289
In 5.682 -1.944 4.551
In 4.785 0.506 2.527
In 1.474 -0.119 5.713
In 1.555 3.754 1.303
In 0.113 3.635 5.807
In 0.655 0.540 2.582
In -2.418 3.595 3.687
```

Results
SG: I-4, No. 82
Energy of formation, meV/atom: -369


4.
First-principles (GGA-PBE) data for a relaxed structure of Pm5NdDyEr2, as listed in Alexandria via LeMat-Bulk.

Structure (extended XYZ):
```
18
Lattice="-2.347 3.480 -3.780 -7.975 -3.607 5.852 1.261 8.216 6.781" Properties=species:S:1:pos:R:3 pbc="T T T"
Pm -7.145 -1.257 3.280
Pm -4.149 7.563 5.319
Pm -7.831 4.303 8.825
Pm -4.552 4.675 7.131
Pm -9.354 4.235 5.487
Pm -2.483 5.654 2.526
Pm -4.766 1.478 4.320
Pm -1.252 3.646 -0.087
Pm -4.625 2.660 1.101
Pm -0.279 0.128 0.291
Nd -5.987 4.811 3.927
Nd -3.682 -0.677 1.663
Dy -1.587 9.267 5.297
Dy -6.954 2.213 6.356
Er -7.166 7.028 6.700
Er -1.081 5.654 5.877
Er -1.724 2.180 3.077
Er -8.010 2.240 2.816
```

Results
SG: Cmc2_1, No. 36
Energy of formation, meV/atom: 148


no.,total DFT energy (no corrections) (eV for the cell shown)
1,-84.956
2,-59.401
3,-55.388
4,-81.839